*P*
Below is an optimized crystal structure of Ta4Ni, with properties calculated at the PBE-GGA level.

The space group is Im-3m (No. 229) and the conventional cell measures 5.789, 5.789 and 5.789 Å, with angles of 90.00, 90.00 and 90.00 degrees. The inequivalent atoms are Ta at (0.250, 0.250, 0.250) and Ni at (0.000, 0.000, 0.000).

For the total magnetic moment, the calculation gives 0.000 μB per cell. The crystal system is cubic. Its mass density is 13.4 Mg/m³.

=====

*Q*
Below is an optimized crystal structure of Ta4Ni, with properties calculated at the PBE-GGA level.

The space group is I4/mmm (No. 139) and the conventional cell measures 3.687, 3.687 and 13.960 Å, with angles of 90.00, 90.00 and 90.00 degrees. The inequivalent atoms are Ta at (0.000, 0.000, 0.089), Ta at (0.000, 0.500, 0.250) and Ni at (0.000, 0.000, 0.500).

For the total magnetic moment, the calculation gives 0.000 μB per cell. The crystal system is tetragonal. Its mass density is 13.7 Mg/m³.

=====

Last place for stability: *Q*

=====

*P*
Below is an optimized crystal structure of TaTcNi, with properties calculated at the PBE-GGA level.

The space group is C2/m (No. 12) and the conventional cell measures 10.098, 3.192 and 5.795 Å, with angles of 90.00, 109.42 and 90.00 degrees. The inequivalent atoms are Ta at (0.163, 0.000, 0.109), Tc at (0.019, 0.500, 0.747) and Ni at (0.168, 0.000, 0.568).

For the total magnetic moment, the calculation gives 0.000 μB per cell. The crystal system is monoclinic. Its mass density is 12.7 Mg/m³.

=====

*Q*
Below is an optimized crystal structure of TaTcNi, with properties calculated at the PBE-GGA level.

The space group is Imm2 (No. 44) and the conventional cell measures 2.678, 3.862 and 8.528 Å, with angles of 90.00, 90.00 and 90.00 degrees. The inequivalent atoms are Ta at (0.000, 0.000, 0.000), Tc at (0.000, 0.000, 0.679) and Ni at (0.000, 0.000, 0.329).

For the total magnetic moment, the calculation gives 0.000 μB per cell. The crystal system is orthorhombic. Its mass density is 12.7 Mg/m³.

=====

*R*
Below is an optimized crystal structure of TaTcNi, with properties calculated at the PBE-GGA level.

The space group is F-43m (No. 216) and the conventional cell measures 5.920, 5.920 and 5.920 Å, with angles of 90.00, 90.00 and 90.00 degrees. The inequivalent atoms are Ta at (0.000, 0.000, 0.000), Tc at (0.250, 0.250, 0.750) and Ni at (0.250, 0.250, 0.250).

For the total magnetic moment, the calculation gives 0.001 μB per cell. The crystal system is cubic. Its mass density is 10.8 Mg/m³.

=====

Last place for stability: *R*

=====

*P*
Below is an optimized crystal structure of TaTcNi, with properties calculated at the PBE-GGA level.

The space group is P3m1 (No. 156) and the conventional cell measures 4.3915, 4.3915 and 2.6440 Å, with angles of 90.00, 90.00 and 120.00 degrees. The inequivalent atoms are Ta at (0.0000, 0.0000, 0.0000), Tc at (0.3333, 0.6667, 0.3372) and Ni at (0.6667, 0.3333, 0.7667).

For the total magnetic moment, the calculation gives 0.000 μB per cell. The crystal system is trigonal. Its mass density is 12.7 Mg/m³.

=====

*Q*
Below is an optimized crystal structure of TaTcNi, with properties calculated at the PBE-GGA level.

The space group is I4mm (No. 107) and the conventional cell measures 3.216, 3.216 and 8.546 Å, with angles of 90.00, 90.00 and 90.00 degrees. The inequivalent atoms are Ta at (0.000, 0.000, 0.000), Tc at (0.000, 0.000, 0.337) and Ni at (0.000, 0.000, 0.666).

For the total magnetic moment, the calculation gives 0.122 μB per cell. The crystal system is tetragonal. Its mass density is 12.7 Mg/m³.

=====

*R*
Below is an optimized crystal structure of TaTcNi, with properties calculated at the PBE-GGA level.

The space group is Fmm2 (No. 42) and the conventional cell measures 3.349, 4.249 and 12.278 Å, with angles of 90.00, 90.00 and 90.00 degrees. The inequivalent atoms are Ta at (0.000, 0.000, 0.000), Tc at (0.000, 0.000, 0.681) and Ni at (0.000, 0.000, 0.336).

For the total magnetic moment, the calculation gives 0.000 μB per cell. The crystal system is orthorhombic. Its mass density is 12.8 Mg/m³.

=====

*S*
Below is an optimized crystal structure of TaTcNi, with properties calculated at the PBE-GGA level.

The space group is F-43m (No. 216) and the conventional cell measures 5.797, 5.797 and 5.797 Å, with angles of 90.00, 90.00 and 90.00 degrees. The inequivalent atoms are Ta at (0.000, 0.000, 0.000), Tc at (0.000, 0.000, 0.500) and Ni at (0.250, 0.250, 0.250).

For the total magnetic moment, the calculation gives 0.009 μB per cell. The crystal system is cubic. Its mass density is 11.5 Mg/m³.

=====

Last place for stability: *S*

=====

*P*
Below is an optimized crystal structure of Ta3TcNi, with properties calculated at the PBE-GGA level.

The space group is Pm-3m (No. 221) and the conventional cell measures 4.760, 4.760 and 4.760 Å, with angles of 90.00, 90.00 and 90.00 degrees. The inequivalent atoms are Ta at (0.000, 0.000, 0.500), Tc at (0.000, 0.000, 0.000) and Ni at (0.500, 0.500, 0.500).

For the total magnetic moment, the calculation gives 0.000 μB per cell. The crystal system is cubic. Its mass density is 10.8 Mg/m³.

=====

*Q*
Below is an optimized crystal structure of Ta3TcNi, with properties calculated at the PBE-GGA level.

The space group is Pm-3m (No. 221) and the conventional cell measures 4.541, 4.541 and 4.541 Å, with angles of 90.00, 90.00 and 90.00 degrees. The inequivalent atoms are Ta at (0.000, 0.000, 0.500), Tc at (0.500, 0.500, 0.500) and Ni at (0.000, 0.000, 0.000).

For the total magnetic moment, the calculation gives 0.000 μB per cell. The crystal system is cubic. Its mass density is 12.4 Mg/m³.

=====

Last place for stability: *P*

=====

*P*
Below is an optimized crystal structure of Ta2TlTcNi, with properties calculated at the PBE-GGA level.

The space group is P4/mmm (No. 123) and the conventional cell measures 4.810, 4.810 and 4.637 Å, with angles of 90.00, 90.00 and 90.00 degrees. The inequivalent atoms are Ta at (0.000, 0.500, 0.000), Tl at (0.000, 0.000, 0.500), Tc at (0.500, 0.500, 0.000) and Ni at (0.500, 0.500, 0.500).

For the total magnetic moment, the calculation gives 0.000 μB per cell. The crystal system is tetragonal. Its mass density is 11.2 Mg/m³.

=====

*Q*
Below is an optimized crystal structure of Ta2TlTcNi, with properties calculated at the PBE-GGA level.

The space group is P4/mmm (No. 123) and the conventional cell measures 4.585, 4.585 and 4.634 Å, with angles of 90.00, 90.00 and 90.00 degrees. The inequivalent atoms are Ta at (0.000, 0.500, 0.000), Tl at (0.000, 0.000, 0.500), Tc at (0.500, 0.500, 0.500) and Ni at (0.000, 0.000, 0.000).

For the total magnetic moment, the calculation gives 0.062 μB per cell. The crystal system is tetragonal. Its mass density is 12.3 Mg/m³.

=====

Last place for stability: *Q*

=====

*P*
Below is an optimized crystal structure of TaNiTe, with properties calculated at the PBE-GGA level.

The space group is I4mm (No. 107) and the conventional cell measures 3.379, 3.379 and 9.096 Å, with angles of 90.00, 90.00 and 90.00 degrees. The inequivalent atoms are Ta at (0.000, 0.000, 0.000), Ni at (0.000, 0.000, 0.349) and Te at (0.000, 0.000, 0.682).

For the total magnetic moment, the calculation gives 0.000 μB per cell. The crystal system is tetragonal. Its mass density is 11.7 Mg/m³.

=====

*Q*
Below is an optimized crystal structure of TaNiTe, with properties calculated at the PBE-GGA level.

The space group is C2/m (No. 12) and the conventional cell measures 6.970, 4.026 and 9.913 Å, with angles of 90.00, 103.64 and 90.00 degrees. The inequivalent atoms are Ta at (0.200, 0.000, 0.098), Ni at (0.105, 0.000, 0.818) and Te at (0.104, 0.500, 0.309).

For the total magnetic moment, the calculation gives 0.000 μB per cell. The crystal system is monoclinic. Its mass density is 9.0 Mg/m³.

=====

*R*
Below is an optimized crystal structure of TaNiTe, with properties calculated at the PBE-GGA level.

The space group is P-6m2 (No. 187) and the conventional cell measures 3.6508, 3.6508 and 10.0665 Å, with angles of 90.00, 90.00 and 120.00 degrees. The inequivalent atoms are Ta at (0.0000, 0.0000, 0.1413), Ni at (0.0000, 0.0000, 0.5000), Ni at (0.3333, 0.6667, 0.0000) and Te at (0.3333, 0.6667, 0.3333).

For the total magnetic moment, the calculation gives 0.430 μB per cell. The crystal system is hexagonal. Its mass density is 10.5 Mg/m³.

=====

Last place for stability: *R*

=====

*P*
Below is an optimized crystal structure of Ta2Ti2Ni, with properties calculated at the PBE-GGA level.

The space group is I4/mmm (No. 139) and the conventional cell measures 3.776, 3.776 and 12.783 Å, with angles of 90.00, 90.00 and 90.00 degrees. The inequivalent atoms are Ta at (0.000, 0.500, 0.250), Ti at (0.000, 0.000, 0.087) and Ni at (0.000, 0.000, 0.500).

For the total magnetic moment, the calculation gives 0.001 μB per cell. The crystal system is tetragonal. Its mass density is 9.4 Mg/m³.

=====

*Q*
Below is an optimized crystal structure of Ta2Ti2Ni, with properties calculated at the PBE-GGA level.

The space group is P4/mbm (No. 127) and the conventional cell measures 6.389, 6.389 and 4.095 Å, with angles of 90.00, 90.00 and 90.00 degrees. The inequivalent atoms are Ta at (0.163, 0.337, 0.000), Ti at (0.145, 0.645, 0.500) and Ni at (0.000, 0.000, 0.500).

For the total magnetic moment, the calculation gives 0.000 μB per cell. The crystal system is tetragonal. Its mass density is 10.3 Mg/m³.

=====

Last place for stability: *P*

=====

*P*
Below is an optimized crystal structure of TaTiNi6, with properties calculated at the PBE-GGA level.

The space group is R-3m (No. 166, hexagonal axes) and the conventional cell measures 6.2944, 6.2944 and 9.6000 Å, with angles of 90.00, 90.00 and 120.00 degrees. The inequivalent atoms are Ta at (0.0000, 0.0000, 0.0000), Ti at (0.0000, 0.0000, 0.5000) and Ni at (0.0837, 0.5419, 0.8883).

For the total magnetic moment, the calculation gives 0.000 μB per cell. The crystal system is trigonal. Its mass density is 8.8 Mg/m³.

=====

*Q*
Below is an optimized crystal structure of TaTiNi6, with properties calculated at the PBE-GGA level.

The space group is P-6m2 (No. 187) and the conventional cell measures 5.1337, 5.1337 and 4.2375 Å, with angles of 90.00, 90.00 and 120.00 degrees. The inequivalent atoms are Ta at (0.0000, 0.0000, 0.0000), Ti at (0.6667, 0.3333, 0.5000), Ni at (0.0066, 0.5033, 0.0000) and Ni at (0.1716, 0.3431, 0.5000).

For the total magnetic moment, the calculation gives 0.000 μB per cell. The crystal system is hexagonal. Its mass density is 10.0 Mg/m³.

=====

Last place for stability: *P*

=====

*P*
Below is an optimized crystal structure of TaTiNi4, with properties calculated at the PBE-GGA level.

The space group is C2/m (No. 12) and the conventional cell measures 8.630, 4.187 and 5.206 Å, with angles of 90.00, 125.23 and 90.00 degrees. The inequivalent atoms are Ta at (0.000, 0.000, 0.000), Ti at (0.000, 0.000, 0.500), Ni at (0.162, 0.500, 0.497) and Ni at (0.169, 0.500, 0.003).

For the total magnetic moment, the calculation gives 0.000 μB per cell. The crystal system is monoclinic. Its mass density is 10.0 Mg/m³.

=====

*Q*
Below is an optimized crystal structure of TaTiNi4, with properties calculated at the PBE-GGA level.

The space group is Pmmm (No. 47) and the conventional cell measures 2.663, 4.191 and 7.216 Å, with angles of 90.00, 90.00 and 90.00 degrees. The inequivalent atoms are Ta at (0.000, 0.000, 0.000), Ti at (0.500, 0.500, 0.500), Ni at (0.000, 0.500, 0.193) and Ni at (0.500, 0.000, 0.315).

For the total magnetic moment, the calculation gives 0.000 μB per cell. The crystal system is orthorhombic. Its mass density is 9.6 Mg/m³.

=====

Last place for stability: *Q*

=====

*P*
Below is an optimized crystal structure of TaTiNi3, with properties calculated at the PBE-GGA level.

The space group is Pm-3m (No. 221) and the conventional cell measures 4.244, 4.244 and 4.244 Å, with angles of 90.00, 90.00 and 90.00 degrees. The inequivalent atoms are Ta at (0.000, 0.000, 0.000), Ti at (0.500, 0.500, 0.500) and Ni at (0.000, 0.500, 0.500).

For the total magnetic moment, the calculation gives 0.000 μB per cell. The crystal system is cubic. Its mass density is 8.8 Mg/m³.

=====

*Q*
Below is an optimized crystal structure of TaTiNi3, with properties calculated at the PBE-GGA level.

The space group is Cmcm (No. 63) and the conventional cell measures 4.791, 12.831 and 4.530 Å, with angles of 90.00, 90.00 and 90.00 degrees. The inequivalent atoms are Ta at (0.000, 0.199, 0.250), Ti at (0.000, 0.434, 0.750), Ni at (0.000, 0.000, 0.000) and Ni at (0.248, 0.366, 0.250).

For the total magnetic moment, the calculation gives 1.217 μB per cell. The crystal system is orthorhombic. Its mass density is 9.7 Mg/m³.

=====

Last place for stability: *P*

=====

*P*
Below is an optimized crystal structure of Ta3TlNi, with properties calculated at the PBE-GGA level.

The space group is Pm-3m (No. 221) and the conventional cell measures 4.650, 4.650 and 4.650 Å, with angles of 90.00, 90.00 and 90.00 degrees. The inequivalent atoms are Ta at (0.000, 0.000, 0.500), Tl at (0.500, 0.500, 0.500) and Ni at (0.000, 0.000, 0.000).

For the total magnetic moment, the calculation gives 0.000 μB per cell. The crystal system is cubic. Its mass density is 13.3 Mg/m³.

=====

*Q*
Below is an optimized crystal structure of Ta3TlNi, with properties calculated at the PBE-GGA level.

The space group is Pm-3m (No. 221) and the conventional cell measures 5.049, 5.049 and 5.049 Å, with angles of 90.00, 90.00 and 90.00 degrees. The inequivalent atoms are Ta at (0.000, 0.000, 0.500), Tl at (0.000, 0.000, 0.000) and Ni at (0.500, 0.500, 0.500).

For the total magnetic moment, the calculation gives 1.988 μB per cell. The crystal system is cubic. Its mass density is 10.4 Mg/m³.

=====

Last place for stability: *Q*